This record from Alexandria via LeMat-Bulk describes SrSbPtO6 after structural relaxation. The functional is PBE.

## Properties
N(E_F)	6.30	states/eV/f.u.
formation energy without anion corrections	-1.460	eV per atom
final energy	-6.081	eV per atom
SG	P312

Structure (POSCAR):
```
SrSbPtO6
1.0
5.3339 0.0000 0.0000
2.6670 4.6193 0.0001
0.0001 -0.0002 5.4409
O Sr Sb Pt
6 1 1 1
direct
0.3686 0.0023 0.7031
0.6291 0.3686 0.7031
0.6291 0.0023 0.2969
0.0022 0.3686 0.2969
0.3686 0.6292 0.2969
0.0022 0.6292 0.7031
0.0000 0.0000 0.0000
0.6666 0.6667 0.5000
0.3333 0.3333 0.5000
```


This record from Alexandria via LeMat-Bulk describes Sb2TePtO after structural relaxation. The functional is PBE.

## Properties
offset from the most stable computed form	277	kJ/mol of formula units
N(E_F)	3.60	states/eV/f.u.
formation energy without anion corrections	0.771	eV per atom
final energy	-3.706	eV per atom
SG	P4/mmm

Structure (POSCAR):
```
Sb2TePtO
1.0
-2.7711 -2.9935 3.2191
0.1449 -3.8655 -3.4699
4.6424 -1.8603 2.2663
Sb O Pt Te
2 1 1 1
direct
0.0000 0.5000 0.0000
0.5000 0.0000 0.0000
0.5000 0.5000 0.5000
0.0000 0.0000 0.0000
0.0000 0.0000 0.5000
```


This record from Alexandria via LeMat-Bulk describes SbTe2PtO after structural relaxation. The functional is PBE.

## Properties
offset from the most stable computed form	259	kJ/mol of formula units
N(E_F)	11.01	states/eV/f.u.
formation energy without anion corrections	0.879	eV per atom
final energy	-3.402	eV per atom
SG	P4/mmm

Structure (POSCAR):
```
SbTe2PtO
1.0
-3.1065 3.5254 2.4200
1.4399 -1.9541 4.6950
3.9974 3.3942 0.1867
Pt Te O Sb
1 2 1 1
direct
0.0000 0.0000 0.0000
0.0000 0.5000 0.0000
0.5000 0.0000 0.0000
0.5000 0.5000 0.5000
0.0000 0.0000 0.5000
```


This record from Alexandria via LeMat-Bulk describes Sb2TePtO after structural relaxation. The functional is PBE.

## Properties
offset from the most stable computed form	0	kJ/mol of formula units
N(E_F)	3.78	states/eV/f.u.
formation energy without anion corrections	0.196	eV per atom
final energy	-4.281	eV per atom
SG	P4/mmm

Structure (POSCAR):
```
Sb2TePtO
1.0
-1.9422 3.0353 3.0053
-0.9675 -3.5282 2.9382
4.2400 0.6079 2.1261
Te Sb O Pt
1 2 1 1
direct
0.0000 0.0000 0.5000
0.5000 0.0000 0.0000
0.0000 0.5000 0.0000
0.0000 0.0000 0.0000
0.5000 0.5000 0.5000
```


This record from Alexandria via LeMat-Bulk describes SbTe2PtO after structural relaxation. The functional is PBE.

## Properties
offset from the most stable computed form	0	kJ/mol of formula units
N(E_F)	3.85	states/eV/f.u.
formation energy without anion corrections	0.341	eV per atom
final energy	-3.940	eV per atom
SG	P4/mmm

Structure (POSCAR):
```
SbTe2PtO
1.0
4.7562 0.0000 0.0000
0.0000 4.7562 0.0000
0.0000 0.0000 4.7164
O Te Pt Sb
1 2 1 1
direct
0.0000 0.0000 0.0000
0.5000 0.0000 0.0000
0.0000 0.5000 0.0000
0.5000 0.5000 0.5000
0.0000 0.0000 0.5000
```


This record from Alexandria via LeMat-Bulk describes Tl2SbPt3O12 after structural relaxation. The functional is PBE.

## Properties
N(E_F)	13.70	states/eV/f.u.
formation energy without anion corrections	-0.532	eV per atom
final energy	-5.336	eV per atom
SG	R-3m

Structure (POSCAR):
```
Tl2SbPt3O12
1.0
-0.9004 -6.4181 -3.2821
2.4325 -6.1022 3.1018
-4.6603 -4.8889 2.6749
O Pt Tl Sb
12 3 2 1
direct
0.0822 0.6651 0.0822
0.6751 0.0852 0.6751
0.0822 0.0822 0.6651
0.9178 0.3349 0.9178
0.3349 0.9178 0.9178
0.6651 0.0822 0.0822
0.6751 0.6751 0.0852
0.9178 0.9178 0.3349
0.9148 0.3249 0.3249
0.3249 0.9148 0.3249
0.3249 0.3249 0.9148
0.0852 0.6751 0.6751
0.5000 0.0000 0.0000
0.0000 0.0000 0.5000
0.0000 0.5000 0.0000
0.3723 0.3723 0.3723
0.6277 0.6277 0.6277
0.0000 0.0000 0.0000
```


This record from Alexandria via LeMat-Bulk describes Zn2SbPtO after structural relaxation. The functional is PBE.

## Properties
N(E_F)	9.59	states/eV/f.u.
formation energy without anion corrections	0.958	eV per atom
final energy	-2.576	eV per atom
SG	P4/mmm

Structure (POSCAR):
```
Zn2SbPtO
1.0
5.1248 0.0000 0.0000
0.0000 5.1248 0.0000
0.0000 0.0000 4.9587
O Sb Zn Pt
1 1 2 1
direct
0.5000 0.5000 0.5000
0.0000 0.0000 0.0000
0.5000 0.0000 0.0000
0.0000 0.5000 0.0000
0.0000 0.0000 0.5000
```


This record from Alexandria via LeMat-Bulk describes ZnSbPtO6 after structural relaxation. The functional is PBE.

## Properties
N(E_F)	6.18	states/eV/f.u.
formation energy without anion corrections	-0.954	eV per atom
final energy	-5.531	eV per atom
SG	P-31c

Structure (POSCAR):
```
ZnSbPtO6
1.0
5.2515 0.0000 0.0000
-2.6257 4.5479 0.0000
0.0000 0.0000 8.9022
Pt O Sb Zn
2 12 2 2
direct
0.3333 0.6667 0.2500
0.6667 0.3333 0.7500
0.6517 0.0026 0.8701
0.9974 0.3483 0.6299
0.9974 0.6491 0.8701
0.6491 0.6517 0.1299
0.0026 0.6517 0.3701
0.3509 0.0026 0.6299
0.3483 0.3509 0.3701
0.0026 0.3509 0.1299
0.3509 0.3483 0.8701
0.6517 0.6491 0.6299
0.6491 0.9974 0.3701
0.3483 0.9974 0.1299
0.3333 0.6667 0.7500
0.6667 0.3333 0.2500
0.0000 0.0000 0.5000
0.0000 0.0000 0.0000
```


> Among the records above, which one has the lowest formation energy without anion corrections?

SrSbPtO6